1:
Density functional theory data (PBE-GGA) for a geometry-optimized KAl2Ag structure.

It has space group Cm (No. 8), with a = 8.935 Å, b = 3.115 Å, c = 7.290 Å, α = 90.00°, β = 97.16° and γ = 90.00°. The distinct sites, in fractional coordinates, are K at (0.000, 0.000, 0.000), Al at (0.000, 0.500, 0.497), Al at (0.268, 0.500, 0.343) and Ag at (0.229, 0.000, 0.655).

Its density of states at the Fermi level is 1.79 states/eV/cell.

=====

2:
Density functional theory data (PBE-GGA) for a geometry-optimized KAl2Ag structure.

It has space group C2/m (No. 12), with a = 11.588 Å, b = 2.989 Å, c = 6.143 Å, α = 90.00°, β = 108.92° and γ = 90.00°. The distinct sites, in fractional coordinates, are K at (0.000, 0.000, 0.000), Al at (0.205, 0.000, 0.641) and Ag at (0.000, 0.500, 0.500).

Its density of states at the Fermi level is 2.18 states/eV/cell.

=====

3:
Density functional theory data (PBE-GGA) for a geometry-optimized KAl2Ag structure.

It has space group Immm (No. 71), with a = 2.930 Å, b = 5.532 Å, c = 11.253 Å, α = 90.00°, β = 90.00° and γ = 90.00°. The distinct sites, in fractional coordinates, are K at (0.000, 0.000, 0.000), Al at (0.000, 0.500, 0.212) and Ag at (0.000, 0.000, 0.500).

Its density of states at the Fermi level is 2.20 states/eV/cell.

=====

Least stable structure: 3